A PBEsol-optimized structure of LiUN2. Source: the Alexandria database, functional meta-GGA SCAN.

Calculated values
symmetry = I4_1/amd (141)
magnetic moment = 1.001 μB per formula unit
volume = 103 Å³ per cell
formation energy without anion corrections = -1.326 eV/atom

Lattice parameters (Å, degrees): 4.322 4.322 6.287 110.11 110.11 90.00
Each line ends with the local moment (μB).
Positions (direct):
Li: 0.750 0.250 0.500  0.01
U: 0.250 0.750 0.500  1.06
N: 0.791 0.791 0.582  -0.07
Li: 0.500 0.500 0.000  0.01
N: 0.459 0.959 0.918  -0.07
N: 0.209 0.209 0.418  -0.07
U: 0.000 0.000 0.000  1.06
N: 0.041 0.541 0.082  -0.07